No. 1
{
  "formula": "PmDy2Ho2Er2",
  "functional": "PBE",
  "state": "relaxed",
  "lattice": [[5.5908, -2.5042, 0.0000], [5.5908, 2.5042, 0.0000], [-1.1225, 0.0000, 7.8398]],
  "species": ["Pm", "Dy", "Dy", "Ho", "Ho", "Er", "Er"],
  "frac_coords": [[0.0000, 0.0000, 0.0000], [0.1427, 0.1427, 0.4298], [0.8573, 0.8573, 0.5702], [0.4282, 0.4282, 0.2864], [0.5718, 0.5718, 0.7136], [0.2856, 0.2856, 0.8563], [0.7144, 0.7144, 0.1437]],
  "formation_energy_ev_per_atom": 0.019
}



No. 2
{
  "formula": "Ag12Sb3Pd5",
  "functional": "PBE",
  "state": "relaxed",
  "lattice": [[-7.8996, 7.8996, 7.8996], [7.8996, -7.8996, 7.8996], [7.8996, 7.8996, -7.8996]],
  "species": ["Ag", "Ag", "Ag", "Ag", "Ag", "Ag", "Ag", "Ag", "Ag", "Ag", "Ag", "Ag", "Ag", "Ag", "Ag", "Ag", "Ag", "Ag", "Ag", "Ag", "Ag", "Ag", "Ag", "Ag", "Ag", "Ag", "Ag", "Ag", "Ag", "Ag", "Ag", "Ag", "Ag", "Ag", "Ag", "Ag", "Ag", "Ag", "Ag", "Ag", "Ag", "Ag", "Ag", "Ag", "Ag", "Ag", "Ag", "Ag", "Sb", "Sb", "Sb", "Sb", "Sb", "Sb", "Sb", "Sb", "Sb", "Sb", "Sb", "Sb", "Pd", "Pd", "Pd", "Pd", "Pd", "Pd", "Pd", "Pd", "Pd", "Pd", "Pd", "Pd", "Pd", "Pd", "Pd", "Pd", "Pd", "Pd", "Pd", "Pd"],
  "frac_coords": [[0.0640, 0.2282, 0.1394], [0.0640, 0.3358, 0.9246], [0.0754, 0.6394, 0.4112], [0.0754, 0.9360, 0.6642], [0.0888, 0.7282, 0.6642], [0.0888, 0.8606, 0.4246], [0.1394, 0.0640, 0.2282], [0.1394, 0.5754, 0.9112], [0.1642, 0.2282, 0.5888], [0.1642, 0.4360, 0.5754], [0.2282, 0.1394, 0.0640], [0.2282, 0.5888, 0.1642], [0.2718, 0.3358, 0.9112], [0.2718, 0.4360, 0.3606], [0.3358, 0.9112, 0.2718], [0.3358, 0.9246, 0.0640], [0.3606, 0.2718, 0.4360], [0.3606, 0.5888, 0.9246], [0.4112, 0.0754, 0.6394], [0.4112, 0.8358, 0.7718], [0.4246, 0.0888, 0.8606], [0.4246, 0.8358, 0.5640], [0.4360, 0.3606, 0.2718], [0.4360, 0.5754, 0.1642], [0.5640, 0.4246, 0.8358], [0.5640, 0.6394, 0.7282], [0.5754, 0.1642, 0.4360], [0.5754, 0.9112, 0.1394], [0.5888, 0.1642, 0.2282], [0.5888, 0.9246, 0.3606], [0.6394, 0.4112, 0.0754], [0.6394, 0.7282, 0.5640], [0.6642, 0.0754, 0.9360], [0.6642, 0.0888, 0.7282], [0.7282, 0.5640, 0.6394], [0.7282, 0.6642, 0.0888], [0.7718, 0.4112, 0.8358], [0.7718, 0.8606, 0.9360], [0.8358, 0.5640, 0.4246], [0.8358, 0.7718, 0.4112], [0.8606, 0.4246, 0.0888], [0.8606, 0.9360, 0.7718], [0.9112, 0.1394, 0.5754], [0.9112, 0.2718, 0.3358], [0.9246, 0.0640, 0.3358], [0.9246, 0.3606, 0.5888], [0.9360, 0.6642, 0.0754], [0.9360, 0.7718, 0.8606], [0.1250, 0.2500, 0.3750], [0.1250, 0.3750, 0.7500], [0.2500, 0.3750, 0.1250], [0.2500, 0.8750, 0.6250], [0.3750, 0.1250, 0.2500], [0.3750, 0.7500, 0.1250], [0.6250, 0.2500, 0.8750], [0.6250, 0.8750, 0.7500], [0.7500, 0.1250, 0.3750], [0.7500, 0.6250, 0.8750], [0.8750, 0.6250, 0.2500], [0.8750, 0.7500, 0.6250], [0.0000, 0.0000, 0.0000], [0.0000, 0.0000, 0.5000], [0.0000, 0.5000, 0.0000], [0.0000, 0.5000, 0.5000], [0.1250, 0.7500, 0.8750], [0.1250, 0.8750, 0.2500], [0.2500, 0.1250, 0.8750], [0.2500, 0.6250, 0.3750], [0.3750, 0.2500, 0.6250], [0.3750, 0.6250, 0.7500], [0.5000, 0.0000, 0.0000], [0.5000, 0.0000, 0.5000], [0.5000, 0.5000, 0.0000], [0.5000, 0.5000, 0.5000], [0.6250, 0.3750, 0.2500], [0.6250, 0.7500, 0.3750], [0.7500, 0.3750, 0.6250], [0.7500, 0.8750, 0.1250], [0.8750, 0.1250, 0.7500], [0.8750, 0.2500, 0.1250]],
  "formation_energy_uncorrected_ev_per_atom": 0.528
}